(1)
10
Lattice="-2.183 -3.895 -0.392 3.312 -1.599 -2.562 4.614 -3.400 8.085" Properties=species:S:1:pos:R:3 comment="Pr2As4PdPt3, relaxed, DFT PBE-GGA" formation_enthalpy_0k_ev_per_atom=-0.91 sg="P-4m2, No. 115" m_tot_mub_per_fu=0.00 pbc="T T T"
Pt 2.971 -4.941 6.922
Pt 2.208 -1.206 -0.314
Pt 2.307 -1.700 4.043
Pd 2.871 -4.447 2.566
As 3.365 -2.058 1.713
As 0.564 -2.747 -1.477
As 1.814 -4.088 4.895
As 0.000 0.000 0.000
Pr 5.112 -3.345 4.774
Pr 0.067 -2.801 1.834



(2)
8
Lattice="-3.965 0.790 -1.033 -1.260 -1.512 3.680 0.869 10.261 4.513" Properties=species:S:1:pos:R:3 comment="RbPrAs2Pd4, relaxed, DFT PBE-GGA" formation_enthalpy_0k_ev_per_atom=-0.51 sg="P4/mmm, No. 123" m_tot_mub_per_fu=0.00 pbc="T T T"
Pr 0.000 0.000 0.000
Pd -1.814 2.378 0.356
Pd 0.071 7.523 5.481
Pd -0.462 1.227 2.712
Pd -1.281 8.674 3.125
As -2.012 6.724 4.439
As -2.343 2.816 2.721
Rb 0.435 5.131 2.257



(3)
10
Lattice="4.228 0.000 0.000 0.000 4.228 0.000 0.000 0.000 10.838" Properties=species:S:1:pos:R:3 comment="Pr2As3Pd4Rh, relaxed, DFT PBE-GGA" formation_enthalpy_0k_ev_per_atom=-0.74 sg="P-4m2, No. 115" m_tot_mub_per_fu=0.00 pbc="T T T"
As 2.114 0.000 9.423
As 0.000 0.000 5.419
As 0.000 2.114 1.415
Pd 2.114 2.114 0.000
Pd 0.000 0.000 0.000
Pd 0.000 2.114 3.827
Pd 2.114 0.000 7.011
Pr 0.000 2.114 8.072
Pr 2.114 0.000 2.766
Rh 2.114 2.114 5.419



(4)
10
Lattice="-0.304 2.570 3.520 2.681 -2.671 2.183 7.801 5.249 -3.159" Properties=species:S:1:pos:R:3 comment="Pr2As4PdRh3, relaxed, DFT PBE-GGA" formation_enthalpy_0k_ev_per_atom=-0.92 sg="P-4m2, No. 115" m_tot_mub_per_fu=0.00 pbc="T T T"
As 4.175 0.572 -0.057
As 0.000 0.000 0.000
As 1.188 -0.050 2.851
As 4.814 4.627 -0.251
Pr 7.216 2.618 -1.288
Pr 1.774 2.581 0.980
Pd 5.089 2.574 1.271
Rh 3.900 2.625 -1.580
Rh 6.736 5.921 -1.030
Rh 2.253 -0.721 0.722



(5)
6
Lattice="-2.411 2.785 -1.549 -1.035 -2.522 -2.922 -5.213 -3.265 7.396" Properties=species:S:1:pos:R:3 comment="PrAs2Pd2Rh, relaxed, DFT PBE-GGA" formation_enthalpy_0k_ev_per_atom=-0.04 sg="I4/mmm, No. 139" m_tot_mub_per_fu=0.00 pbc="T T T"
Rh 0.000 0.000 0.000
Pr -1.723 0.132 -2.236
Pd -3.985 -2.827 1.119
Pd -4.673 -0.174 1.806
As -4.051 -0.920 -0.504
As -4.608 -2.081 3.428



(6)
10
Lattice="-1.186 2.866 3.179 -4.020 -1.878 0.194 3.274 -6.298 6.899" Properties=species:S:1:pos:R:3 comment="Pr2As4Pd3Rh, relaxed, DFT PBE-GGA" formation_enthalpy_0k_ev_per_atom=-0.87 sg="P-4m2, No. 115" m_tot_mub_per_fu=0.00 pbc="T T T"
Rh -0.966 -2.655 5.136
Pd 1.637 -3.149 3.449
Pd 2.277 -4.088 7.638
Pd -1.607 -1.715 0.947
As -2.603 0.494 1.686
As -0.789 -3.288 2.670
As 1.460 -2.516 5.915
As 0.000 0.000 0.000
Pr 0.221 -0.133 3.305
Pr 0.449 -5.670 5.280



(7)
12
Lattice="-4.289 2.449 -0.132 -1.754 -0.031 4.618 0.927 10.555 5.015" Properties=species:S:1:pos:R:3 comment="PrSb2As2Pd7, relaxed, DFT PBE-GGA" sg="C2/m, No. 12" raw_formation_energy_ev_per_atom=-0.43 m_tot_mub_per_fu=0.00 pbc="T T T"
As -3.350 9.645 6.822
As -1.766 3.327 2.679
Pd -3.021 1.209 2.243
Pd -3.049 2.744 4.883
Pd -0.817 9.005 6.961
Pd -2.962 7.596 5.546
Pd -2.153 5.376 3.955
Pd -2.067 10.228 4.618
Pd -4.299 3.967 2.540
Sb -0.628 7.466 4.232
Sb -4.488 5.506 5.269
Pr 0.000 0.000 0.000



(8)
6
Lattice="-3.291 -2.890 0.185 3.181 -0.488 -2.977 4.078 -4.319 5.066" Properties=species:S:1:pos:R:3 comment="PrSmAs2Pd2, relaxed, DFT PBE-GGA" formation_enthalpy_0k_ev_per_atom=-1.18 sg="P-3m1, No. 164" m_tot_mub_per_fu=0.00 pbc="T T T"
Pd 4.050 -4.494 1.836
Pd -0.082 -3.204 0.438
As 1.911 -5.314 2.914
As 2.057 -2.383 -0.640
Pr 0.000 0.000 0.000
Sm 2.039 -2.160 2.533